The following is a PBE-GGA calculation of a relaxed La5Th crystal, from Alexandria.

- Formation enthalpy at 0 K: 0.021 eV per atom

a b c (Å): 5.1971 15.8332 5.1739
angles (deg): 90.00 90.00 90.00
Last column: nearest neighbours and their distance in Å.
Space group Cmmm (No. 65)
Inequivalent atoms, fractional coordinates:
La: 0.0000 0.0000 0.0000 x2  8 La 3.60, 4 Th 3.67
La: 0.0000 0.1577 0.5000 x4  10 La 3.60-3.91, 2 Th 3.60
La: 0.0000 0.3423 0.0000 x4  2 Th 3.60, 10 La 3.60-3.91
Th: 0.0000 0.5000 0.5000 x2  12 La 3.60-3.67